RbCr4Cu3O12: optimized geometry, GGA+U.

Unit cell a=6.444 b=6.444 c=6.444 alpha=109.47 beta=109.47 gamma=109.47
Each line ends with the local moment (μB).
Fractional positions:
1 Rb 0.000 0.000 0.000  -0.01
2 Cr 0.500 0.000 0.000  2.78
3 Cr 0.500 0.500 0.500  2.78
4 Cr 0.000 0.500 0.000  2.78
5 Cr 0.000 0.000 0.500  2.78
6 Cu 0.000 0.500 0.500  0.05
7 Cu 0.500 0.500 0.000  0.05
8 Cu 0.500 0.000 0.500  0.05
9 O 0.321 0.823 0.144  -0.12
10 O 0.679 0.177 0.856  -0.12
11 O 0.679 0.823 0.502  -0.12
12 O 0.856 0.679 0.177  -0.12
13 O 0.823 0.144 0.321  -0.12
14 O 0.177 0.498 0.321  -0.12
15 O 0.498 0.321 0.177  -0.12
16 O 0.177 0.856 0.679  -0.12
17 O 0.321 0.177 0.498  -0.12
18 O 0.144 0.321 0.823  -0.12
19 O 0.823 0.502 0.679  -0.12
20 O 0.502 0.679 0.823  -0.12

V ... 206 Å³ per cell
Final energy ... -6.35 eV per atom
SG ... Im-3